# 1
DFT (meta-GGA SCAN) results for Cs2TlCuCl6 at its PBEsol-relaxed geometry.

Unit cell a=7.231 b=7.231 c=7.231 alpha=60.00 beta=60.00 gamma=60.00
Positions (direct):
1 Cs 0.250 0.250 0.250
2 Cs 0.750 0.750 0.750
3 Tl 0.000 0.000 0.000
4 Cu 0.500 0.500 0.500
5 Cl 0.264 0.264 0.736
6 Cl 0.264 0.736 0.264
7 Cl 0.264 0.736 0.736
8 Cl 0.736 0.264 0.264
9 Cl 0.736 0.264 0.736
10 Cl 0.736 0.736 0.264

Output
SG: Fm-3m, No. 225
Total magnetization: 0.025 μB per atom
Crystal system: cubic
Formation energy (no corrections): -134 kJ per mole of atoms
ρ: 4.6 g cm⁻³

=====

# 2
DFT (meta-GGA SCAN) results for Cs2YCuCl6 at its PBEsol-relaxed geometry.

Unit cell a=7.245 b=7.245 c=7.245 alpha=60.00 beta=60.00 gamma=60.00
Positions (direct):
1 Cs 0.250 0.250 0.250
2 Cs 0.750 0.750 0.750
3 Y 0.000 0.000 0.000
4 Cu 0.500 0.500 0.500
5 Cl 0.255 0.255 0.745
6 Cl 0.255 0.745 0.255
7 Cl 0.255 0.745 0.745
8 Cl 0.745 0.255 0.255
9 Cl 0.745 0.255 0.745
10 Cl 0.745 0.745 0.255

Output
SG: Fm-3m, No. 225
Total magnetization: 0.008 μB per atom
Crystal system: cubic
Formation energy (no corrections): -198 kJ per mole of atoms
ρ: 3.9 g cm⁻³

=====

# 3
DFT (meta-GGA SCAN) results for CsDy2Cl7 at its PBEsol-relaxed geometry.

Unit cell a=13.552 b=6.885 c=12.488 alpha=90.00 beta=90.00 gamma=90.00
Positions (direct):
1 Cs 0.038 0.250 0.203
2 Cs 0.462 0.750 0.703
3 Cs 0.538 0.250 0.297
4 Cs 0.962 0.750 0.797
5 Dy 0.242 0.250 0.548
6 Dy 0.247 0.250 0.852
7 Dy 0.253 0.750 0.352
8 Dy 0.258 0.750 0.048
9 Dy 0.742 0.250 0.952
10 Dy 0.747 0.250 0.648
11 Dy 0.753 0.750 0.148
12 Dy 0.758 0.750 0.452
13 Cl 0.111 0.750 0.198
14 Cl 0.128 0.009 0.433
15 Cl 0.128 0.491 0.433
16 Cl 0.132 0.009 0.967
17 Cl 0.132 0.491 0.967
18 Cl 0.180 0.007 0.701
19 Cl 0.180 0.493 0.701
20 Cl 0.320 0.507 0.201
21 Cl 0.320 0.993 0.201
22 Cl 0.368 0.509 0.467
23 Cl 0.368 0.991 0.467
24 Cl 0.372 0.509 0.933
25 Cl 0.372 0.991 0.933
26 Cl 0.389 0.250 0.698
27 Cl 0.611 0.750 0.302
28 Cl 0.628 0.009 0.067
29 Cl 0.628 0.491 0.067
30 Cl 0.632 0.009 0.533
31 Cl 0.632 0.491 0.533
32 Cl 0.680 0.007 0.799
33 Cl 0.680 0.493 0.799
34 Cl 0.820 0.507 0.299
35 Cl 0.820 0.993 0.299
36 Cl 0.868 0.509 0.033
37 Cl 0.868 0.991 0.033
38 Cl 0.872 0.509 0.567
39 Cl 0.872 0.991 0.567
40 Cl 0.889 0.250 0.802

Output
SG: Pnma, No. 62
Total magnetization: 0.000 μB per atom
Crystal system: orthorhombic
Formation energy (no corrections): -244 kJ per mole of atoms
ρ: 4.0 g cm⁻³

=====

# 4
DFT (meta-GGA SCAN) results for Cs2LiDyCl6 at its PBEsol-relaxed geometry.

Unit cell a=7.325 b=7.325 c=7.325 alpha=60.00 beta=60.00 gamma=60.00
Positions (direct):
1 Cs 0.250 0.250 0.250
2 Cs 0.750 0.750 0.750
3 Li 0.000 0.000 0.000
4 Dy 0.500 0.500 0.500
5 Cl 0.248 0.248 0.752
6 Cl 0.248 0.752 0.248
7 Cl 0.248 0.752 0.752
8 Cl 0.752 0.248 0.248
9 Cl 0.752 0.248 0.752
10 Cl 0.752 0.752 0.248

Output
SG: Fm-3m, No. 225
Total magnetization: 0.000 μB per atom
Crystal system: cubic
Formation energy (no corrections): -231 kJ per mole of atoms
ρ: 3.9 g cm⁻³

=====

# 5
DFT (meta-GGA SCAN) results for Cs2NaDyCl6 at its PBEsol-relaxed geometry.

Unit cell a=7.532 b=7.532 c=7.532 alpha=60.00 beta=60.00 gamma=60.00
Positions (direct):
1 Cs 0.250 0.250 0.250
2 Cs 0.750 0.750 0.750
3 Na 0.000 0.000 0.000
4 Dy 0.500 0.500 0.500
5 Cl 0.256 0.256 0.744
6 Cl 0.256 0.744 0.256
7 Cl 0.256 0.744 0.744
8 Cl 0.744 0.256 0.256
9 Cl 0.744 0.256 0.744
10 Cl 0.744 0.744 0.256

Output
SG: Fm-3m, No. 225
Total magnetization: 0.000 μB per atom
Crystal system: cubic
Formation energy (no corrections): -232 kJ per mole of atoms
ρ: 3.6 g cm⁻³

=====

# 6
DFT (meta-GGA SCAN) results for Cs2RbDyCl6 at its PBEsol-relaxed geometry.

Unit cell a=7.995 b=7.995 c=7.995 alpha=60.00 beta=60.00 gamma=60.00
Positions (direct):
1 Cs 0.250 0.250 0.250
2 Cs 0.750 0.750 0.750
3 Rb 0.000 0.000 0.000
4 Dy 0.500 0.500 0.500
5 Cl 0.270 0.270 0.730
6 Cl 0.270 0.730 0.270
7 Cl 0.270 0.730 0.730
8 Cl 0.730 0.270 0.270
9 Cl 0.730 0.270 0.730
10 Cl 0.730 0.730 0.270

Output
SG: Fm-3m, No. 225
Total magnetization: 0.000 μB per atom
Crystal system: cubic
Formation energy (no corrections): -230 kJ per mole of atoms
ρ: 3.3 g cm⁻³

=====

# 7
DFT (meta-GGA SCAN) results for Cs2ErCl5 at its PBEsol-relaxed geometry.

Unit cell a=9.392 b=7.326 c=15.052 alpha=90.00 beta=90.00 gamma=90.00
Positions (direct):
1 Cs 0.028 0.250 0.210
2 Cs 0.167 0.750 0.416
3 Cs 0.333 0.250 0.916
4 Cs 0.472 0.750 0.710
5 Cs 0.528 0.250 0.290
6 Cs 0.667 0.750 0.084
7 Cs 0.833 0.250 0.584
8 Cs 0.972 0.750 0.790
9 Er 0.181 0.750 0.065
10 Er 0.319 0.250 0.565
11 Er 0.681 0.750 0.435
12 Er 0.819 0.250 0.935
13 Cl 0.000 0.000 0.000
14 Cl 0.000 0.500 0.000
15 Cl 0.018 0.750 0.201
16 Cl 0.163 0.507 0.620
17 Cl 0.163 0.993 0.620
18 Cl 0.209 0.250 0.408
19 Cl 0.291 0.750 0.908
20 Cl 0.337 0.007 0.120
21 Cl 0.337 0.493 0.120
22 Cl 0.482 0.250 0.701
23 Cl 0.500 0.000 0.500
24 Cl 0.500 0.500 0.500
25 Cl 0.518 0.750 0.299
26 Cl 0.663 0.507 0.880
27 Cl 0.663 0.993 0.880
28 Cl 0.709 0.250 0.092
29 Cl 0.791 0.750 0.592
30 Cl 0.837 0.007 0.380
31 Cl 0.837 0.493 0.380
32 Cl 0.982 0.250 0.799

Output
SG: Pnma, No. 62
Total magnetization: 0.000 μB per atom
Crystal system: orthorhombic
Formation energy (no corrections): -237 kJ per mole of atoms
ρ: 3.9 g cm⁻³

=====

# 8
DFT (meta-GGA SCAN) results for Cs3ErCl6 at its PBEsol-relaxed geometry.

Unit cell a=8.172 b=8.172 c=8.172 alpha=60.00 beta=60.00 gamma=60.00
Positions (direct):
1 Cs 0.000 0.000 0.000
2 Cs 0.250 0.250 0.250
3 Cs 0.750 0.750 0.750
4 Er 0.500 0.500 0.500
5 Cl 0.277 0.277 0.723
6 Cl 0.277 0.723 0.277
7 Cl 0.277 0.723 0.723
8 Cl 0.723 0.277 0.277
9 Cl 0.723 0.277 0.723
10 Cl 0.723 0.723 0.277

Output
SG: Fm-3m, No. 225
Total magnetization: 0.000 μB per atom
Crystal system: cubic
Formation energy (no corrections): -228 kJ per mole of atoms
ρ: 3.4 g cm⁻³

=====

# 9
DFT (meta-GGA SCAN) results for Cs2LiErCl6 at its PBEsol-relaxed geometry.

Unit cell a=7.299 b=7.299 c=7.299 alpha=60.00 beta=60.00 gamma=60.00
Positions (direct):
1 Cs 0.250 0.250 0.250
2 Cs 0.750 0.750 0.750
3 Li 0.000 0.000 0.000
4 Er 0.500 0.500 0.500
5 Cl 0.249 0.249 0.751
6 Cl 0.249 0.751 0.249
7 Cl 0.249 0.751 0.751
8 Cl 0.751 0.249 0.249
9 Cl 0.751 0.249 0.751
10 Cl 0.751 0.751 0.249

Output
SG: Fm-3m, No. 225
Total magnetization: 0.000 μB per atom
Crystal system: cubic
Formation energy (no corrections): -231 kJ per mole of atoms
ρ: 3.9 g cm⁻³

=====

# 10
DFT (meta-GGA SCAN) results for CsFeCl4 at its PBEsol-relaxed geometry.

Unit cell a=11.640 b=6.924 c=9.479 alpha=90.00 beta=90.00 gamma=90.00
Positions (direct):
1 Cs 0.185 0.250 0.154
2 Cs 0.315 0.750 0.654
3 Cs 0.685 0.250 0.346
4 Cs 0.815 0.750 0.846
5 Fe 0.057 0.250 0.707
6 Fe 0.443 0.750 0.207
7 Fe 0.557 0.250 0.793
8 Fe 0.943 0.750 0.293
9 Cl 0.088 0.504 0.838
10 Cl 0.088 0.996 0.838
11 Cl 0.122 0.750 0.361
12 Cl 0.178 0.250 0.532
13 Cl 0.322 0.750 0.032
14 Cl 0.378 0.250 0.861
15 Cl 0.412 0.004 0.338
16 Cl 0.412 0.496 0.338
17 Cl 0.588 0.504 0.662
18 Cl 0.588 0.996 0.662
19 Cl 0.622 0.750 0.139
20 Cl 0.678 0.250 0.968
21 Cl 0.822 0.750 0.468
22 Cl 0.878 0.250 0.639
23 Cl 0.912 0.004 0.162
24 Cl 0.912 0.496 0.162

Output
SG: Pnma, No. 62
Total magnetization: 0.833 μB per atom
Crystal system: orthorhombic
Formation energy (no corrections): -148 kJ per mole of atoms
ρ: 2.9 g cm⁻³

=====

# 11
DFT (meta-GGA SCAN) results for Cs3Fe2Cl9 at its PBEsol-relaxed geometry.

Unit cell a=7.076 b=7.076 c=8.789 alpha=90.00 beta=90.00 gamma=120.00
Positions (direct):
1 Cs 0.000 0.000 0.000
2 Cs 0.333 0.667 0.334
3 Cs 0.667 0.333 0.666
4 Fe 0.333 0.667 0.817
5 Fe 0.667 0.333 0.183
6 Cl 0.000 0.500 0.000
7 Cl 0.175 0.351 0.685
8 Cl 0.175 0.825 0.685
9 Cl 0.351 0.175 0.315
10 Cl 0.500 0.000 0.000
11 Cl 0.500 0.500 0.000
12 Cl 0.649 0.825 0.685
13 Cl 0.825 0.175 0.315
14 Cl 0.825 0.649 0.315

Output
SG: P-3m1, No. 164
Total magnetization: 0.714 μB per atom
Crystal system: trigonal
Formation energy (no corrections): -154 kJ per mole of atoms
ρ: 3.6 g cm⁻³

=====

# 12
DFT (meta-GGA SCAN) results for CsLaZr6FeCl18 at its PBEsol-relaxed geometry.

Unit cell a=9.617 b=9.617 c=18.330 alpha=90.00 beta=90.00 gamma=120.00
Positions (direct):
1 Cs 0.333 0.667 0.250
2 Cs 0.667 0.333 0.750
3 La 0.333 0.667 0.750
4 La 0.667 0.333 0.250
5 Zr 0.043 0.222 0.925
6 Zr 0.043 0.821 0.575
7 Zr 0.179 0.222 0.575
8 Zr 0.179 0.957 0.925
9 Zr 0.222 0.043 0.425
10 Zr 0.222 0.179 0.075
11 Zr 0.778 0.821 0.925
12 Zr 0.778 0.957 0.575
13 Zr 0.821 0.043 0.075
14 Zr 0.821 0.778 0.425
15 Zr 0.957 0.179 0.425
16 Zr 0.957 0.778 0.075
17 Fe 0.000 0.000 0.000
18 Fe 0.000 0.000 0.500
19 Cl 0.045 0.236 0.160
20 Cl 0.045 0.810 0.340
21 Cl 0.076 0.457 0.837
22 Cl 0.076 0.619 0.663
23 Cl 0.145 0.424 0.499
24 Cl 0.145 0.722 0.001
25 Cl 0.190 0.236 0.340
26 Cl 0.190 0.955 0.160
27 Cl 0.236 0.045 0.660
28 Cl 0.236 0.190 0.840
29 Cl 0.278 0.424 0.001
30 Cl 0.278 0.855 0.499
31 Cl 0.381 0.457 0.663
32 Cl 0.381 0.924 0.837
33 Cl 0.424 0.145 0.999
34 Cl 0.424 0.278 0.501
35 Cl 0.457 0.076 0.337
36 Cl 0.457 0.381 0.163
37 Cl 0.543 0.619 0.837
38 Cl 0.543 0.924 0.663
39 Cl 0.576 0.722 0.499
40 Cl 0.576 0.855 0.001
41 Cl 0.619 0.076 0.163
42 Cl 0.619 0.543 0.337
43 Cl 0.722 0.145 0.501
44 Cl 0.722 0.576 0.999
45 Cl 0.764 0.810 0.160
46 Cl 0.764 0.955 0.340
47 Cl 0.810 0.045 0.840
48 Cl 0.810 0.764 0.660
49 Cl 0.855 0.278 0.999
50 Cl 0.855 0.576 0.501
51 Cl 0.924 0.381 0.337
52 Cl 0.924 0.543 0.163
53 Cl 0.955 0.190 0.660
54 Cl 0.955 0.764 0.840

Output
SG: P-31c, No. 163
Total magnetization: 0.000 μB per atom
Crystal system: trigonal
Formation energy (no corrections): -199 kJ per mole of atoms
ρ: 3.4 g cm⁻³

=====

# 13
DFT (meta-GGA SCAN) results for CsFePCl2 at its PBEsol-relaxed geometry.

Unit cell a=5.165 b=5.165 c=4.303 alpha=90.00 beta=90.00 gamma=90.00
Positions (direct):
1 Cs 0.000 0.000 0.000
2 Fe 0.500 0.500 0.500
3 P 0.500 0.500 0.000
4 Cl 0.000 0.500 0.500
5 Cl 0.500 0.000 0.500

Output
SG: P4/mmm, No. 123
Total magnetization: 0.495 μB per atom
Crystal system: tetragonal
Formation energy (no corrections): -68 kJ per mole of atoms
ρ: 4.2 g cm⁻³

=====

# 14
DFT (meta-GGA SCAN) results for CsFeP2Cl at its PBEsol-relaxed geometry.

Unit cell a=4.336 b=4.336 c=6.322 alpha=90.00 beta=90.00 gamma=90.00
Positions (direct):
1 Cs 0.000 0.000 0.000
2 Fe 0.500 0.500 0.500
3 P 0.000 0.500 0.500
4 P 0.500 0.000 0.500
5 Cl 0.500 0.500 0.000

Output
SG: P4/mmm, No. 123
Total magnetization: 0.374 μB per atom
Crystal system: tetragonal
Formation energy (no corrections): -28 kJ per mole of atoms
ρ: 4.0 g cm⁻³

=====

# 15
DFT (meta-GGA SCAN) results for CsGa2PbCl at its PBEsol-relaxed geometry.

Unit cell a=6.086 b=6.086 c=6.407 alpha=90.00 beta=90.00 gamma=90.00
Positions (direct):
1 Cs 0.000 0.000 0.000
2 Ga 0.000 0.500 0.000
3 Ga 0.500 0.000 0.000
4 Pb 0.000 0.000 0.500
5 Cl 0.500 0.500 0.500

Output
SG: P4/mmm, No. 123
Total magnetization: 0.000 μB per atom
Crystal system: tetragonal
Formation energy (no corrections): 105 kJ per mole of atoms
ρ: 3.6 g cm⁻³

=====

# 16
DFT (meta-GGA SCAN) results for Cs3GdCl6 at its PBEsol-relaxed geometry.

Unit cell a=8.234 b=8.234 c=8.234 alpha=60.00 beta=60.00 gamma=60.00
Positions (direct):
1 Cs 0.000 0.000 0.000
2 Cs 0.250 0.250 0.250
3 Cs 0.750 0.750 0.750
4 Gd 0.500 0.500 0.500
5 Cl 0.274 0.274 0.726
6 Cl 0.274 0.726 0.274
7 Cl 0.274 0.726 0.726
8 Cl 0.726 0.274 0.274
9 Cl 0.726 0.274 0.726
10 Cl 0.726 0.726 0.274

Output
SG: Fm-3m, No. 225
Total magnetization: 0.685 μB per atom
Crystal system: cubic
Formation energy (no corrections): -225 kJ per mole of atoms
ρ: 3.2 g cm⁻³

=====

# 17
DFT (meta-GGA SCAN) results for Cs2LiGdCl6 at its PBEsol-relaxed geometry.

Unit cell a=7.357 b=7.357 c=7.357 alpha=60.00 beta=60.00 gamma=60.00
Positions (direct):
1 Cs 0.250 0.250 0.250
2 Cs 0.750 0.750 0.750
3 Li 0.000 0.000 0.000
4 Gd 0.500 0.500 0.500
5 Cl 0.246 0.246 0.754
6 Cl 0.246 0.754 0.246
7 Cl 0.246 0.754 0.754
8 Cl 0.754 0.246 0.246
9 Cl 0.754 0.246 0.754
10 Cl 0.754 0.754 0.246

Output
SG: Fm-3m, No. 225
Total magnetization: 0.701 μB per atom
Crystal system: cubic
Formation energy (no corrections): -228 kJ per mole of atoms
ρ: 3.8 g cm⁻³

=====

# 18
DFT (meta-GGA SCAN) results for Cs2RbGdCl6 at its PBEsol-relaxed geometry.

Unit cell a=8.036 b=8.036 c=8.036 alpha=60.00 beta=60.00 gamma=60.00
Positions (direct):
1 Cs 0.250 0.250 0.250
2 Cs 0.750 0.750 0.750
3 Rb 0.000 0.000 0.000
4 Gd 0.500 0.500 0.500
5 Cl 0.269 0.269 0.731
6 Cl 0.269 0.731 0.269
7 Cl 0.269 0.731 0.731
8 Cl 0.731 0.269 0.269
9 Cl 0.731 0.269 0.731
10 Cl 0.731 0.731 0.269

Output
SG: Fm-3m, No. 225
Total magnetization: 0.700 μB per atom
Crystal system: cubic
Formation energy (no corrections): -227 kJ per mole of atoms
ρ: 3.3 g cm⁻³